Version 1
A relaxed TmThSc6 crystal, computed with PBE.

Summary:
For the density of states at the Fermi level, the calculation gives 15.3 states/eV per cell. Its density is 5.3 g/cm³.

```
TmThSc6
1.0
4.718 -4.726 0.000
4.718 4.726 0.000
0.000 0.000 4.675
Tm Th Sc
1 1 6
Direct
0.000 0.000 0.000
0.500 0.500 0.000
0.000 0.500 0.000
0.252 0.252 0.500
0.252 0.748 0.500
0.500 0.000 0.000
0.748 0.252 0.500
0.748 0.748 0.500
```

---

Version 2
A relaxed TmThSc6 crystal, computed with PBE.

Summary:
For the density of states at the Fermi level, the calculation gives 15.0 states/eV per cell. Its density is 5.3 g/cm³.

```
TmThSc6
1.0
6.726 0.000 0.000
-3.363 5.825 0.000
0.000 0.000 5.347
Tm Th Sc
1 1 6
Direct
0.000 0.000 0.000
0.333 0.667 0.500
0.340 0.170 0.500
0.501 0.003 0.000
0.501 0.499 0.000
0.830 0.170 0.500
0.830 0.660 0.500
0.997 0.499 0.000
```

---

Q: What are the energies relative to the best structure? A: version 1 1.8; version 2 0.0, in kJ/mol of atoms.

---

Version 1
A relaxed Tm2ThSc5 crystal, computed with PBE.

Summary:
For the density of states at the Fermi level, the calculation gives 11.7 states/eV per cell. Its density is 6.2 g/cm³.

```
Tm2ThSc5
1.0
-3.405 3.405 4.578
3.405 -3.405 4.578
3.405 3.405 -4.578
Tm Th Sc
2 1 5
Direct
0.000 0.500 0.500
0.500 0.000 0.500
0.000 0.000 0.000
0.000 0.000 0.500
0.000 0.500 0.000
0.500 0.000 0.000
0.500 0.500 0.000
0.500 0.500 0.500
```

---

Version 2
A relaxed Tm2ThSc5 crystal, computed with PBE.

Summary:
For the density of states at the Fermi level, the calculation gives 28.4 states/eV per cell. Its density is 6.2 g/cm³.

```
Tm2ThSc5
1.0
6.678 0.000 0.000
0.000 13.387 0.000
0.000 0.000 4.793
Tm Th Sc
4 2 10
Direct
0.242 0.127 0.000
0.258 0.627 0.000
0.742 0.373 0.000
0.758 0.873 0.000
0.000 0.500 0.500
0.500 0.000 0.500
0.000 0.000 0.500
0.011 0.750 0.500
0.240 0.376 0.000
0.260 0.876 0.000
0.489 0.250 0.500
0.500 0.500 0.500
0.511 0.750 0.500
0.740 0.124 0.000
0.760 0.624 0.000
0.989 0.250 0.500
```

---

Q: What are the energies relative to the best structure? A: version 1 0.0; version 2 1.5, in kJ/mol of atoms.

---

Version 1
A relaxed Tm3Th4Sc2 crystal, computed with PBE.

Summary:
For the density of states at the Fermi level, the calculation gives 31.3 states/eV per cell. Its density is 9.3 g/cm³.

```
Tm3Th4Sc2
1.0
8.017 -5.088 0.000
8.017 5.088 0.000
-1.416 0.000 6.683
Tm Th Sc
6 8 4
Direct
0.018 0.982 0.750
0.330 0.341 0.171
0.341 0.330 0.671
0.659 0.670 0.329
0.670 0.659 0.829
0.982 0.018 0.250
0.010 0.332 0.838
0.322 0.677 0.998
0.323 0.678 0.502
0.332 0.010 0.338
0.668 0.990 0.662
0.677 0.322 0.498
0.678 0.323 0.002
0.990 0.668 0.162
0.002 0.643 0.663
0.357 0.998 0.837
0.643 0.002 0.163
0.998 0.357 0.337
```

---

Version 2
A relaxed Tm3Th4Sc2 crystal, computed with PBE.

Summary:
For the density of states at the Fermi level, the calculation gives 29.1 states/eV per cell. Its density is 9.4 g/cm³.

```
Tm3Th4Sc2
1.0
8.072 -5.696 0.000
8.072 5.696 0.000
-0.850 0.000 5.831
Tm Th Sc
6 8 4
Direct
0.108 0.892 0.750
0.196 0.455 0.927
0.455 0.196 0.427
0.545 0.804 0.573
0.804 0.545 0.073
0.892 0.108 0.250
0.091 0.337 0.384
0.318 0.567 0.481
0.337 0.091 0.884
0.433 0.682 0.019
0.567 0.318 0.981
0.663 0.909 0.116
0.682 0.433 0.519
0.909 0.663 0.616
0.026 0.760 0.181
0.240 0.974 0.319
0.760 0.026 0.681
0.974 0.240 0.819
```

---

Q: What are the energies relative to the best structure? A: version 1 1.5; version 2 0.0, in kJ/mol of atoms.

---

Version 1
A relaxed Tm8ThSc2 crystal, computed with PBE.

Summary:
For the density of states at the Fermi level, the calculation gives 20.1 states/eV per cell. Its density is 8.4 g/cm³.

```
Tm8ThSc2
1.0
-2.614 4.053 7.779
2.614 -4.053 7.779
2.614 4.053 -7.779
Tm Th Sc
8 1 2
Direct
0.145 0.352 0.793
0.159 0.159 0.000
0.296 0.000 0.296
0.441 0.648 0.793
0.559 0.352 0.207
0.704 0.000 0.704
0.841 0.841 0.000
0.855 0.648 0.207
0.000 0.500 0.500
0.299 0.799 0.500
0.701 0.201 0.500
```

---

Version 2
A relaxed Tm8ThSc2 crystal, computed with PBE.

Summary:
For the density of states at the Fermi level, the calculation gives 18.6 states/eV per cell. Its density is 8.6 g/cm³.

```
Tm8ThSc2
1.0
8.828 -2.447 0.000
8.828 2.447 0.000
-2.054 0.000 7.465
Tm Th Sc
8 1 2
Direct
0.047 0.047 0.230
0.138 0.138 0.688
0.318 0.318 0.590
0.406 0.406 0.044
0.594 0.594 0.956
0.682 0.682 0.410
0.862 0.862 0.312
0.953 0.953 0.770
0.500 0.500 0.500
0.229 0.229 0.134
0.771 0.771 0.866
```

---

Q: What are the energies relative to the best structure? A: version 1 8.3; version 2 0.0, in kJ/mol of atoms.

---

Version 1
A relaxed Tm2ThSc3 crystal, computed with PBE.

Summary:
For the density of states at the Fermi level, the calculation gives 8.6 states/eV per cell. Its density is 6.0 g/cm³.

```
Tm2ThSc3
1.0
5.307 -5.473 0.000
5.307 5.473 0.000
0.000 0.000 3.339
Tm Th Sc
2 1 3
Direct
0.000 0.500 0.000
0.500 0.000 0.000
0.000 0.000 0.000
0.239 0.761 0.500
0.500 0.500 0.500
0.761 0.239 0.500
```

---

Version 2
A relaxed Tm2ThSc3 crystal, computed with PBE.

Summary:
For the density of states at the Fermi level, the calculation gives 17.2 states/eV per cell. Its density is 7.1 g/cm³.

```
Tm2ThSc3
1.0
2.963 -5.125 0.000
2.963 5.125 0.000
-1.973 0.000 10.879
Tm Th Sc
4 2 6
Direct
0.000 0.000 0.000
0.166 0.834 0.500
0.500 0.500 0.500
0.834 0.166 0.500
0.333 0.667 0.000
0.667 0.333 0.000
0.083 0.421 0.248
0.255 0.255 0.752
0.421 0.083 0.248
0.579 0.917 0.752
0.745 0.745 0.248
0.917 0.579 0.752
```

---

Q: What are the energies relative to the best structure? A: version 1 51.8; version 2 0.0, in kJ/mol of atoms.

---

Version 1
A relaxed Tm2ThSc6 crystal, computed with PBE.

Summary:
For the density of states at the Fermi level, the calculation gives 16.4 states/eV per cell. Its density is 5.8 g/cm³.

```
Tm2ThSc6
1.0
4.202 -8.266 0.000
4.202 8.266 0.000
-0.602 0.000 3.456
Tm Th Sc
2 1 6
Direct
0.181 0.819 0.000
0.819 0.181 0.000
0.000 0.000 0.500
0.176 0.490 0.644
0.345 0.345 0.163
0.490 0.176 0.644
0.510 0.824 0.356
0.655 0.655 0.837
0.824 0.510 0.356
```

---

Version 2
A relaxed Tm2ThSc6 crystal, computed with PBE.

Summary:
For the density of states at the Fermi level, the calculation gives 16.7 states/eV per cell. Its density is 5.9 g/cm³.

```
Tm2ThSc6
1.0
9.147 0.000 0.000
-4.573 7.921 0.000
0.000 0.000 3.289
Tm Th Sc
2 1 6
Direct
0.333 0.667 0.000
0.667 0.333 0.000
0.000 0.000 0.000
0.000 0.334 0.500
0.000 0.666 0.500
0.334 0.000 0.500
0.334 0.334 0.500
0.666 0.000 0.500
0.666 0.666 0.500
```

---

Q: What are the energies relative to the best structure? A: version 1 7.5; version 2 0.0, in kJ/mol of atoms.

---

Version 1
A relaxed Tm3Th2Sc2 crystal, computed with PBE.

Summary:
For the density of states at the Fermi level, the calculation gives 11.1 states/eV per cell. Its density is 8.6 g/cm³.

```
Tm3Th2Sc2
1.0
2.576 -11.585 0.000
2.576 11.585 0.000
0.000 0.000 3.432
Tm Th Sc
3 2 2
Direct
0.000 0.000 0.000
0.426 0.574 0.500
0.574 0.426 0.500
0.153 0.847 0.000
0.847 0.153 0.000
0.285 0.715 0.500
0.715 0.285 0.500
```

---

Version 2
A relaxed Tm3Th2Sc2 crystal, computed with PBE.

Summary:
For the density of states at the Fermi level, the calculation gives 10.4 states/eV per cell. Its density is 8.5 g/cm³.

```
Tm3Th2Sc2
1.0
5.474 0.000 0.000
0.000 3.266 0.000
-2.729 0.000 11.595
Tm Th Sc
3 2 2
Direct
0.000 0.000 0.000
0.291 0.000 0.582
0.709 0.000 0.418
0.139 0.000 0.277
0.861 0.000 0.723
0.426 0.500 0.853
0.574 0.500 0.147
```

---

Q: What are the energies relative to the best structure? A: version 1 0.0; version 2 18.0, in kJ/mol of atoms.

---

Version 1
A relaxed Tm3Th3Sc crystal, computed with PBE.

Summary:
For the density of states at the Fermi level, the calculation gives 20.0 states/eV per cell. Its density is 9.0 g/cm³.

```
Tm3Th3Sc
1.0
4.291 2.477 7.183
-4.291 2.477 7.183
0.000 -4.954 7.183
Tm Th Sc
6 6 2
Direct
0.062 0.739 0.561
0.261 0.439 0.938
0.439 0.938 0.261
0.561 0.062 0.739
0.739 0.561 0.062
0.938 0.261 0.439
0.066 0.298 0.793
0.207 0.934 0.702
0.298 0.793 0.066
0.702 0.207 0.934
0.793 0.066 0.298
0.934 0.702 0.207
0.345 0.345 0.345
0.655 0.655 0.655
```

---

Version 2
A relaxed Tm3Th3Sc crystal, computed with PBE.

Summary:
For the density of states at the Fermi level, the calculation gives 19.2 states/eV per cell. Its density is 9.6 g/cm³.

```
Tm3Th3Sc
1.0
9.360 0.000 0.000
-4.680 8.106 0.000
0.000 0.000 5.668
Tm Th Sc
6 6 2
Direct
0.048 0.809 0.250
0.191 0.239 0.250
0.239 0.048 0.750
0.761 0.952 0.250
0.809 0.761 0.750
0.952 0.191 0.750
0.106 0.618 0.750
0.382 0.487 0.750
0.487 0.106 0.250
0.513 0.894 0.750
0.618 0.513 0.250
0.894 0.382 0.250
0.333 0.667 0.250
0.667 0.333 0.750
```

---

Q: What are the energies relative to the best structure? A: version 1 29.0; version 2 0.0, in kJ/mol of atoms.